Computed, not measured: a relaxed structure of Nd2PbI at the PBE-GGA level of DFT.

```
Nd2PbI
1.0
2.3818 1.3751 9.3530
-2.3818 1.3751 9.3530
0.0000 -2.7503 9.3530
Nd Pb I
2 1 1
Direct
0.1112 0.1112 0.1112
0.8888 0.8888 0.8888
0.5000 0.5000 0.5000
0.0000 0.0000 0.0000
```

Calculated values
size of the total moment: 0.0 μB/cell
calculated density: 5.62 g cm⁻³
N(E_F): 3.390 states/eV per cell
formation energy from raw total energies: -0.55 eV/atom

Computed, not measured: a relaxed structure of AcInNiAg at the PBE-GGA level of DFT.

```
AcInNiAg
1.0
0.0000 3.6025 3.6025
3.6025 0.0000 3.6025
3.6025 3.6025 0.0000
Ac In Ni Ag
1 1 1 1
Direct
0.0000 0.0000 0.0000
0.5000 0.5000 0.5000
0.7500 0.7500 0.7500
0.2500 0.2500 0.2500
```

Calculated values
size of the total moment: 0.0 μB/cell
calculated density: 9.03 g cm⁻³
N(E_F): 3.791 states/eV per cell
formation enthalpy at 0 K: -0.1368 eV per atom

Computed, not measured: a relaxed structure of NdEuDyGa at the PBE-GGA level of DFT.

```
NdEuDyGa
1.0
0.0000 3.8422 3.8422
3.8422 0.0000 3.8422
3.8422 3.8422 0.0000
Nd Eu Dy Ga
1 1 1 1
Direct
0.0000 0.0000 0.0000
0.2500 0.2500 0.2500
0.5000 0.5000 0.5000
0.7500 0.7500 0.7500
```

Calculated values
size of the total moment: 7.6 μB/cell
calculated density: 7.74 g cm⁻³
N(E_F): 5.727 states/eV per cell
formation enthalpy at 0 K: -0.0765 eV per atom

Computed, not measured: a relaxed structure of Er2HfScAs4 at the PBE-GGA level of DFT.

```
Er2HfScAs4
1.0
6.8478 0.0000 0.0000
0.0000 3.9564 0.0000
-2.2706 0.0000 6.4779
Er Hf Sc As
2 1 1 4
Direct
0.0000 0.0000 0.0000
0.5000 0.5000 0.0000
0.0000 0.5000 0.5000
0.5000 0.0000 0.5000
0.2442 0.0000 0.7357
0.2531 0.5000 0.2638
0.7469 0.5000 0.7362
0.7558 0.0000 0.2643
```

Calculated values
size of the total moment: 0.0 μB/cell
calculated density: 8.11 g cm⁻³
N(E_F): 1.293 states/eV per cell
formation enthalpy at 0 K: -1.3642 eV per atom

Computed, not measured: a relaxed structure of RbAu at the PBE-GGA level of DFT.

```
RbAu
1.0
2.4391 -6.2171 0.0000
2.4391 6.2171 0.0000
0.0000 0.0000 4.9568
Rb Au
2 2
Direct
0.1405 0.8595 0.7500
0.8595 0.1405 0.2500
0.4341 0.5659 0.7500
0.5659 0.4341 0.2500
```

Calculated values
size of the total moment: 0.0 μB/cell
calculated density: 6.24 g cm⁻³
N(E_F): 0.031 states/eV per cell
formation enthalpy at 0 K: -0.3003 eV per atom

Computed, not measured: a relaxed structure of NaGe2RuO6 at the PBE-GGA level of DFT.

```
NaGe2RuO6
1.0
4.9838 -4.1733 0.0000
4.9838 4.1733 0.0000
-0.5479 0.0000 5.5249
Na Ge Ru O
2 4 2 12
Direct
0.1198 0.8802 0.7500
0.8802 0.1198 0.2500
0.1837 0.3306 0.9863
0.3306 0.1837 0.4863
0.6694 0.8163 0.5137
0.8163 0.6694 0.0137
0.2565 0.7435 0.2500
0.7435 0.2565 0.7500
0.0626 0.2223 0.6824
0.1178 0.6178 0.9383
0.2223 0.0626 0.1824
0.2852 0.4280 0.3007
0.3822 0.8822 0.5617
0.4280 0.2852 0.8007
0.5720 0.7148 0.1993
0.6178 0.1178 0.4383
0.7148 0.5720 0.6993
0.7777 0.9374 0.8176
0.8822 0.3822 0.0617
0.9374 0.7777 0.3176
```

Calculated values
size of the total moment: 2.0 μB/cell
calculated density: 5.28 g cm⁻³
N(E_F): 2.552 states/eV per cell
formation energy from raw total energies: -1.33 eV/atom

Copy entry 5 word for word.
Computed, not measured: a relaxed structure of RbAu at the PBE-GGA level of DFT.

```
RbAu
1.0
2.4391 -6.2171 0.0000
2.4391 6.2171 0.0000
0.0000 0.0000 4.9568
Rb Au
2 2
Direct
0.1405 0.8595 0.7500
0.8595 0.1405 0.2500
0.4341 0.5659 0.7500
0.5659 0.4341 0.2500
```

Calculated values
size of the total moment: 0.0 μB/cell
calculated density: 6.24 g cm⁻³
N(E_F): 0.031 states/eV per cell
formation enthalpy at 0 K: -0.3003 eV per atom